1.
Computed, not measured: Nb2MoPd after structural relaxation at the PBE-GGA level of DFT.

a = 3.087 Å, b = 3.087 Å, c = 8.668 Å
α = 79.74°, β = 79.74°, γ = 60.00°
Atoms (fractional coordinates):
Mo 0.000 0.000 0.000
Nb 0.254 0.254 0.239
Nb 0.746 0.746 0.761
Pd 0.500 0.500 0.500

Crystal system: trigonal
Formation energy from the elements (meV/atom): 105
N(E_F) (states/eV/cell): 3.5
Energy (eV for the cell shown): -35.74

2.
Computed, not measured: ZrW after structural relaxation at the PBE-GGA level of DFT.

a = 5.386 Å, b = 5.386 Å, c = 5.386 Å
α = 90.00°, β = 90.00°, γ = 90.00°
Atoms (fractional coordinates):
Zr 0.097 0.097 0.097
Zr 0.403 0.903 0.597
Zr 0.903 0.597 0.403
Zr 0.597 0.403 0.903
W 0.400 0.400 0.400
W 0.100 0.600 0.900
W 0.600 0.900 0.100
W 0.900 0.100 0.600

Crystal system: cubic
Formation energy from the elements (meV/atom): 543
N(E_F) (states/eV/cell): 13.5
Energy (eV for the cell shown): -81.66

3.
Computed, not measured: CoIrBr after structural relaxation at the PBE-GGA level of DFT.

a = 4.211 Å, b = 4.211 Å, c = 3.039 Å
α = 90.00°, β = 90.00°, γ = 120.00°
Site moments in Bohr magnetons follow the coordinates.
Atoms (fractional coordinates):
Br 0.000 0.000 0.005  0.07
Co 0.667 0.333 0.267  1.74
Ir 0.333 0.667 0.728  0.59

Crystal system: trigonal
N(E_F) (states/eV/cell): 4.0
Raw formation energy (eV/atom): 1.022
Energy (eV for the cell shown): -14.57

4.
Computed, not measured: Dy2Tm6Mg after structural relaxation at the PBE-GGA level of DFT.

a = 3.506 Å, b = 3.506 Å, c = 25.664 Å
α = 90.00°, β = 90.00°, γ = 120.00°
Site moments in Bohr magnetons follow the coordinates.
Atoms (fractional coordinates):
Dy 0.667 0.333 0.326  -0.17
Dy 0.667 0.333 0.674  -0.17
Tm 0.667 0.333 0.893  -0.09
Tm 0.333 0.667 0.435  -0.25
Tm 0.333 0.667 0.785  -0.21
Tm 0.333 0.667 0.215  -0.21
Tm 0.333 0.667 0.565  -0.25
Tm 0.667 0.333 0.107  -0.09
Mg 0.333 0.667 0.000  0.00

Crystal system: hexagonal
Formation energy from the elements (meV/atom): 69
N(E_F) (states/eV/cell): 15.1
Energy (eV for the cell shown): -37.01

5.
Computed, not measured: Ca3NiP2Pd9 after structural relaxation at the PBE-GGA level of DFT.

a = 6.927 Å, b = 6.927 Å, c = 7.077 Å
α = 90.00°, β = 90.00°, γ = 120.00°
Site moments in Bohr magnetons follow the coordinates.
Atoms (fractional coordinates):
Ca 0.333 0.667 0.676  0.00
Ca 0.000 0.000 0.000  0.00
Ca 0.667 0.333 0.324  0.00
Ni 0.000 0.000 0.500  0.51
P 0.333 0.667 0.156  0.01
P 0.667 0.333 0.844  0.01
Pd 0.819 0.181 0.655  0.03
Pd 0.819 0.639 0.655  0.03
Pd 0.361 0.181 0.655  0.03
Pd 0.639 0.819 0.345  0.03
Pd 0.181 0.361 0.345  0.03
Pd 0.181 0.819 0.345  0.03
Pd 0.500 0.000 0.000  0.01
Pd 0.000 0.500 0.000  0.01
Pd 0.500 0.500 0.000  0.01

Crystal system: trigonal
Formation energy from the elements (meV/atom): -466
N(E_F) (states/eV/cell): 12.5
Energy (eV for the cell shown): -76.33

6.
Computed, not measured: PaWN after structural relaxation at the PBE-GGA level of DFT.

a = 3.054 Å, b = 3.054 Å, c = 11.644 Å
α = 82.46°, β = 82.46°, γ = 60.00°
Atoms (fractional coordinates):
N 0.599 0.599 0.203
N 0.401 0.401 0.797
W 0.301 0.301 0.098
W 0.699 0.699 0.902
Pa 0.883 0.883 0.351
Pa 0.117 0.117 0.649

Crystal system: trigonal
N(E_F) (states/eV/cell): 7.4
Raw formation energy (eV/atom): -0.372
Energy (eV for the cell shown): -63.78

7.
Computed, not measured: ZrBi2Pb after structural relaxation at the PBE-GGA level of DFT.

a = 4.117 Å, b = 4.117 Å, c = 8.794 Å
α = 76.46°, β = 76.46°, γ = 60.00°
Atoms (fractional coordinates):
Zr 0.666 0.666 0.001
Bi 0.073 0.073 0.780
Bi 0.258 0.258 0.226
Pb 0.503 0.503 0.492

Crystal system: trigonal
Formation energy from the elements (meV/atom): -27
N(E_F) (states/eV/cell): 3.2
Energy (eV for the cell shown): -20.13

8.
Computed, not measured: LiHgBi after structural relaxation at the PBE-GGA level of DFT.

a = 6.335 Å, b = 6.418 Å, c = 7.340 Å
α = 90.00°, β = 90.00°, γ = 90.00°
Atoms (fractional coordinates):
Li 0.000 0.000 0.000
Li 0.500 0.500 0.500
Li 0.000 0.500 0.500
Li 0.500 0.000 0.000
Hg 0.750 0.359 0.165
Hg 0.250 0.141 0.665
Hg 0.250 0.641 0.835
Hg 0.750 0.859 0.335
Bi 0.750 0.663 0.802
Bi 0.250 0.837 0.302
Bi 0.250 0.337 0.198
Bi 0.750 0.163 0.698

Crystal system: orthorhombic
Formation energy from the elements (meV/atom): -196
N(E_F) (states/eV/cell): 3.6
Energy (eV for the cell shown): -26.73

9.
Computed, not measured: LaZnB after structural relaxation at the PBE-GGA level of DFT.

a = 5.877 Å, b = 3.734 Å, c = 5.874 Å
α = 108.47°, β = 84.64°, γ = 71.54°
Atoms (fractional coordinates):
Zn 0.227 0.467 0.753
Zn 0.840 0.854 0.140
B 0.653 0.541 0.327
B 0.414 0.780 0.566
La 0.284 0.160 0.197
La 0.783 0.161 0.696

Crystal system: orthorhombic
Formation energy from the elements (meV/atom): -155
N(E_F) (states/eV/cell): 6.2
Energy (eV for the cell shown): -26.69

10.
Computed, not measured: Ti2Br3O after structural relaxation at the PBE-GGA level of DFT.

a = 3.530 Å, b = 9.667 Å, c = 10.260 Å
α = 113.09°, β = 90.00°, γ = 100.52°
Site moments in Bohr magnetons follow the coordinates.
Atoms (fractional coordinates):
Ti 0.069 0.138 0.732  0.83
Ti 0.931 0.862 0.268  0.83
Ti 0.431 0.863 0.537  0.79
Ti 0.569 0.137 0.463  0.79
Br 0.930 0.860 0.735  0.01
Br 0.070 0.140 0.265  0.01
Br 0.370 0.740 0.059  -0.01
Br 0.630 0.260 0.941  -0.01
Br 0.180 0.360 0.629  0.01
Br 0.820 0.640 0.371  0.01
O 0.546 0.092 0.636  -0.03
O 0.454 0.908 0.364  -0.03

Crystal system: monoclinic
N(E_F) (states/eV/cell): 5.4
Raw formation energy (eV/atom): -1.589
Energy (eV for the cell shown): -70.60

11.
Computed, not measured: BPPd after structural relaxation at the PBE-GGA level of DFT.

a = 3.458 Å, b = 5.196 Å, c = 5.079 Å
α = 106.38°, β = 90.00°, γ = 109.43°
Atoms (fractional coordinates):
P 0.078 0.155 0.324
P 0.922 0.845 0.676
Pd 0.651 0.303 0.058
Pd 0.349 0.697 0.942
B 0.875 0.749 0.278
B 0.125 0.251 0.722

Crystal system: monoclinic
Formation energy from the elements (meV/atom): 60
N(E_F) (states/eV/cell): 1.5
Energy (eV for the cell shown): -34.20

12.
Computed, not measured: K3CaSe2O6 after structural relaxation at the PBE-GGA level of DFT.

a = 5.955 Å, b = 5.955 Å, c = 7.076 Å
α = 90.00°, β = 90.00°, γ = 120.00°
Site moments in Bohr magnetons follow the coordinates.
Atoms (fractional coordinates):
K 0.333 0.667 0.662  0.01
K 0.667 0.333 0.338  0.01
K 0.000 0.000 0.000  0.01
Ca 0.000 0.000 0.500  0.02
Se 0.667 0.333 0.816  0.11
Se 0.333 0.667 0.184  0.11
O 0.635 0.817 0.301  0.04
O 0.183 0.365 0.301  0.04
O 0.183 0.817 0.301  0.04
O 0.817 0.635 0.699  0.04
O 0.365 0.183 0.699  0.04
O 0.817 0.183 0.699  0.04

Crystal system: trigonal
N(E_F) (states/eV/cell): 4.2
Raw formation energy (eV/atom): -1.513
Energy (eV for the cell shown): -60.17

13.
Computed, not measured: KBiPS2 after structural relaxation at the PBE-GGA level of DFT.

a = 5.291 Å, b = 5.291 Å, c = 5.141 Å
α = 90.00°, β = 90.00°, γ = 90.00°
Site moments in Bohr magnetons follow the coordinates.
Atoms (fractional coordinates):
S 0.000 0.500 0.000  0.23
S 0.500 0.000 0.000  0.23
P 0.000 0.000 0.500  0.03
K 0.000 0.000 0.000  0.03
Bi 0.500 0.500 0.500  -0.03

Crystal system: tetragonal
N(E_F) (states/eV/cell): 5.2
Raw formation energy (eV/atom): 1.260
Energy (eV for the cell shown): -12.34

14.
Computed, not measured: Tb2PrCu2Ge2 after structural relaxation at the PBE-GGA level of DFT.

a = 4.331 Å, b = 4.331 Å, c = 9.818 Å
α = 77.26°, β = 77.26°, γ = 60.00°
Atoms (fractional coordinates):
Tb 0.127 0.127 0.618
Tb 0.873 0.873 0.382
Pr 0.000 0.000 0.000
Cu 0.595 0.595 0.215
Cu 0.405 0.405 0.785
Ge 0.739 0.739 0.782
Ge 0.261 0.261 0.218

Crystal system: trigonal
Formation energy from the elements (meV/atom): -495
N(E_F) (states/eV/cell): 3.3
Energy (eV for the cell shown): -34.93

15.
Computed, not measured: RbLaGe after structural relaxation at the PBE-GGA level of DFT.

a = 5.521 Å, b = 5.581 Å, c = 8.056 Å
α = 86.94°, β = 89.77°, γ = 89.91°
Atoms (fractional coordinates):
Rb 0.749 0.236 0.608
Rb 0.251 0.764 0.392
La 0.751 0.731 0.997
La 0.249 0.269 0.003
Ge 0.747 0.204 0.167
Ge 0.253 0.796 0.833

Crystal system: triclinic
Formation energy from the elements (meV/atom): -327
N(E_F) (states/eV/cell): 0.3
Energy (eV for the cell shown): -22.99

16.
Computed, not measured: KLiAl after structural relaxation at the PBE-GGA level of DFT.

a = 5.527 Å, b = 5.527 Å, c = 2.972 Å
α = 90.00°, β = 90.00°, γ = 120.00°
Atoms (fractional coordinates):
Al 0.000 0.000 0.999
K 0.667 0.333 0.499
Li 0.333 0.667 0.502

Crystal system: trigonal
Formation energy from the elements (meV/atom): 282
N(E_F) (states/eV/cell): 1.5
Energy (eV for the cell shown): -5.91

17.
Computed, not measured: PrNdCu after structural relaxation at the PBE-GGA level of DFT.

a = 5.065 Å, b = 9.115 Å, c = 7.125 Å
α = 90.00°, β = 90.00°, γ = 90.00°
Atoms (fractional coordinates):
Nd 0.250 0.828 0.492
Nd 0.750 0.328 0.008
Nd 0.250 0.672 0.992
Nd 0.750 0.172 0.508
Pr 0.750 0.910 0.142
Pr 0.750 0.590 0.642
Pr 0.250 0.090 0.858
Pr 0.250 0.410 0.358
Cu 0.750 0.597 0.235
Cu 0.750 0.903 0.735
Cu 0.250 0.097 0.265
Cu 0.250 0.403 0.765

Crystal system: orthorhombic
Formation energy from the elements (meV/atom): -90
N(E_F) (states/eV/cell): 11.9
Energy (eV for the cell shown): -55.65

18.
Computed, not measured: ScTc2CO after structural relaxation at the PBE-GGA level of DFT.

a = 4.848 Å, b = 3.985 Å, c = 4.848 Å
α = 90.00°, β = 90.00°, γ = 90.00°
Site moments in Bohr magnetons follow the coordinates.
Atoms (fractional coordinates):
Sc 0.000 0.000 0.000  -0.19
C 0.000 0.500 0.000  -0.25
Tc 0.000 0.000 0.500  2.35
Tc 0.500 0.000 0.000  2.71
O 0.500 0.500 0.500  -0.13

Crystal system: tetragonal
N(E_F) (states/eV/cell): 3.3
Raw formation energy (eV/atom): 2.466
Energy (eV for the cell shown): -28.91

19.
Computed, not measured: PuAg4O7 after structural relaxation at the PBE-GGA level of DFT.

a = 4.250 Å, b = 6.300 Å, c = 7.788 Å
α = 80.97°, β = 90.00°, γ = 109.71°
Site moments in Bohr magnetons follow the coordinates.
Atoms (fractional coordinates):
Pu 0.000 0.000 0.000  1.54
Ag 0.494 0.988 0.684  -0.03
Ag 0.506 0.012 0.316  -0.03
Ag 0.771 0.541 0.342  0.00
Ag 0.229 0.459 0.658  0.00
O 0.839 0.678 0.075  -0.08
O 0.161 0.322 0.925  -0.08
O 0.022 0.044 0.259  -0.09
O 0.978 0.956 0.741  -0.09
O 0.291 0.582 0.392  0.00
O 0.500 0.000 0.000  -0.09
O 0.709 0.418 0.608  0.00

Crystal system: monoclinic
N(E_F) (states/eV/cell): 4.2
Raw formation energy (eV/atom): -0.778
Energy (eV for the cell shown): -69.78

20.
Computed, not measured: Hf4PtC after structural relaxation at the PBE-GGA level of DFT.

a = 6.329 Å, b = 6.040 Å, c = 6.013 Å
α = 90.00°, β = 100.22°, γ = 90.00°
Atoms (fractional coordinates):
Hf 0.892 0.641 0.169
Hf 0.608 0.141 0.831
Hf 0.303 0.334 0.393
Hf 0.197 0.834 0.607
Hf 0.108 0.359 0.831
Hf 0.392 0.859 0.169
Hf 0.697 0.666 0.607
Hf 0.803 0.166 0.393
Pt 0.000 0.000 0.000
Pt 0.500 0.500 0.000
C 0.500 0.000 0.500
C 0.000 0.500 0.500

Crystal system: monoclinic
Formation energy from the elements (meV/atom): -481
N(E_F) (states/eV/cell): 8.6
Energy (eV for the cell shown): -115.93